# RbPmAlO4

A relaxed RbPmAlO4 crystal (GGA-PBE, Alexandria via LeMat-Bulk).

The structure in POSCAR format:
```
RbPmAlO4
1.0
5.9704 0.0000 0.0912
0.0000 5.9745 0.0000
-2.2306 0.0000 7.3908
Rb Pm Al O
2 2 2 8
Direct
0.7026 0.7500 0.9284
0.2974 0.2500 0.0716
0.8054 0.7500 0.4529
0.1946 0.2500 0.5471
0.2634 0.7500 0.3387
0.7366 0.2500 0.6613
0.9323 0.4756 0.6692
0.0677 0.9756 0.3308
0.0677 0.5244 0.3308
0.9323 0.0244 0.6692
0.4635 0.7500 0.2084
0.5365 0.2500 0.7916
0.4571 0.7500 0.5623
0.5429 0.2500 0.4377
```

Symmetry: No. 11
Total magnetic moment in μB/f.u.: 1.026
Formation energy (no corrections) in kJ/mol of formula units: -1659